DFT (PBEsol) results for an optimized crystal structure of NiPW2.

Computed properties:
energy of formation = 0.69 eV/f.u.

Cell and atoms, written as CIF:
```
data_NiPW2
_chemical_formula_sum 'Ni2 P2 W4'
_space_group_name_H-M_alt 'C 1 2/m 1'
_space_group_IT_number 12
_space_group_name_Hall '-C 2y'
_cell_length_a 8.528
_cell_length_b 3.049
_cell_length_c 4.306
_cell_angle_alpha 90.00
_cell_angle_beta 100.69
_cell_angle_gamma 90.00
loop_
_atom_site_label
_atom_site_fract_x
_atom_site_fract_y
_atom_site_fract_z
Ni1 0.000 0.000 0.000
P1 0.000 0.500 0.500
W1 0.246 0.500 0.245
```

DFT (PBEsol) results for an optimized crystal structure of SrAuSe2.

Computed properties:
polymorph energy (0 for the lowest one) = 0.0 meV/atom
formation energy without anion corrections = -67.0 kJ/mol of atoms

Cell and atoms, written as CIF:
```
data_SrAuSe2
_chemical_formula_sum 'Sr4 Au4 Se8'
_space_group_name_H-M_alt 'I -4 2 d'
_space_group_IT_number 122
_space_group_name_Hall 'I -4 2bw'
_cell_length_a 5.679
_cell_length_b 5.679
_cell_length_c 15.026
_cell_angle_alpha 90.00
_cell_angle_beta 90.00
_cell_angle_gamma 90.00
loop_
_atom_site_label
_atom_site_fract_x
_atom_site_fract_y
_atom_site_fract_z
Sr1 0.000 0.000 0.000
Au1 0.000 0.000 0.500
Se1 0.176 0.250 0.625
```

DFT (PBEsol) results for an optimized crystal structure of Re2Ru2Rh.

Computed properties:
energy of formation = 3.49 eV/f.u.

Cell and atoms, written as CIF:
```
data_Re2Ru2Rh
_chemical_formula_sum 'Re4 Ru4 Rh2'
_space_group_name_H-M_alt 'I 4/m m m'
_space_group_IT_number 139
_space_group_name_Hall '-I 4 2'
_cell_length_a 3.679
_cell_length_b 3.679
_cell_length_c 11.585
_cell_angle_alpha 90.00
_cell_angle_beta 90.00
_cell_angle_gamma 90.00
loop_
_atom_site_label
_atom_site_fract_x
_atom_site_fract_y
_atom_site_fract_z
Re1 0.000 0.000 0.102
Ru1 0.000 0.500 0.250
Rh1 0.000 0.000 0.500
```

DFT (PBEsol) results for an optimized crystal structure of TaTlPt.

Computed properties:
energy of formation = -0.09 eV/f.u.

Cell and atoms, written as CIF:
```
data_TaTlPt
_chemical_formula_sum 'Ta2 Tl2 Pt2'
_space_group_name_H-M_alt 'I 4 m m'
_space_group_IT_number 107
_space_group_name_Hall 'I 4 -2'
_cell_length_a 3.018
_cell_length_b 3.018
_cell_length_c 11.976
_cell_angle_alpha 90.00
_cell_angle_beta 90.00
_cell_angle_gamma 90.00
loop_
_atom_site_label
_atom_site_fract_x
_atom_site_fract_y
_atom_site_fract_z
Ta1 0.000 0.000 0.000
Tl1 0.000 0.000 0.318
Pt1 0.000 0.000 0.640
```

DFT (PBEsol) results for an optimized crystal structure of CaLa2Cr.

Computed properties:
polymorph energy (0 for the lowest one) = 45.8 meV/atom
energy of formation = 1.60 eV/f.u.

Cell and atoms, written as CIF:
```
data_CaLa2Cr
_chemical_formula_sum 'Ca1 La2 Cr1'
_space_group_name_H-M_alt 'P 4 m m'
_space_group_IT_number 99
_space_group_name_Hall 'P 4 -2'
_cell_length_a 3.663
_cell_length_b 3.663
_cell_length_c 8.902
_cell_angle_alpha 90.00
_cell_angle_beta 90.00
_cell_angle_gamma 90.00
loop_
_atom_site_label
_atom_site_fract_x
_atom_site_fract_y
_atom_site_fract_z
Ca1 0.000 0.000 0.000
La1 0.000 0.000 0.404
La2 0.500 0.500 0.677
Cr1 0.500 0.500 0.217
```

DFT (PBEsol) results for an optimized crystal structure of Cr3SiO.

Computed properties:
formation energy without anion corrections = -47.6 kJ/mol of atoms

Cell and atoms, written as CIF:
```
data_Cr3SiO
_chemical_formula_sum 'Cr3 Si1 O1'
_space_group_name_H-M_alt 'P m -3 m'
_space_group_IT_number 221
_space_group_name_Hall '-P 4 2 3'
_cell_length_a 3.752
_cell_length_b 3.752
_cell_length_c 3.752
_cell_angle_alpha 90.00
_cell_angle_beta 90.00
_cell_angle_gamma 90.00
loop_
_atom_site_label
_atom_site_fract_x
_atom_site_fract_y
_atom_site_fract_z
Cr1 0.000 0.000 0.500
Si1 0.500 0.500 0.500
O1 0.000 0.000 0.000
```

DFT (PBEsol) results for an optimized crystal structure of TcNiI2.

Computed properties:
formation energy without anion corrections = 82.9 kJ/mol of atoms

Cell and atoms, written as CIF:
```
data_TcNiI2
_chemical_formula_sum 'Tc4 Ni4 I8'
_space_group_name_H-M_alt 'F m -3 m'
_space_group_IT_number 225
_space_group_name_Hall '-F 4 2 3'
_cell_length_a 6.617
_cell_length_b 6.617
_cell_length_c 6.617
_cell_angle_alpha 90.00
_cell_angle_beta 90.00
_cell_angle_gamma 90.00
loop_
_atom_site_label
_atom_site_fract_x
_atom_site_fract_y
_atom_site_fract_z
Tc1 0.000 0.000 0.000
Ni1 0.000 0.000 0.500
I1 0.250 0.250 0.250
```

DFT (PBEsol) results for an optimized crystal structure of Rb3Pb.

Computed properties:
energy of formation = 0.02 eV/f.u.

Cell and atoms, written as CIF:
```
data_Rb3Pb
_chemical_formula_sum 'Rb12 Pb4'
_space_group_name_H-M_alt 'F m -3 m'
_space_group_IT_number 225
_space_group_name_Hall '-F 4 2 3'
_cell_length_a 9.167
_cell_length_b 9.167
_cell_length_c 9.167
_cell_angle_alpha 90.00
_cell_angle_beta 90.00
_cell_angle_gamma 90.00
loop_
_atom_site_label
_atom_site_fract_x
_atom_site_fract_y
_atom_site_fract_z
Rb1 0.000 0.000 0.000
Rb2 0.250 0.250 0.250
Pb1 0.000 0.000 0.500
```

DFT (PBEsol) results for an optimized crystal structure of TaP2Pb.

Computed properties:
energy of formation = 1.07 eV/f.u.

Cell and atoms, written as CIF:
```
data_TaP2Pb
_chemical_formula_sum 'Ta2 P4 Pb2'
_space_group_name_H-M_alt 'I m m m'
_space_group_IT_number 71
_space_group_name_Hall '-I 2 2'
_cell_length_a 3.218
_cell_length_b 5.820
_cell_length_c 8.760
_cell_angle_alpha 90.00
_cell_angle_beta 90.00
_cell_angle_gamma 90.00
loop_
_atom_site_label
_atom_site_fract_x
_atom_site_fract_y
_atom_site_fract_z
Ta1 0.000 0.000 0.000
P1 0.000 0.500 0.291
Pb1 0.000 0.000 0.500
```

DFT (PBEsol) results for an optimized crystal structure of Cu2H2CO5.

Computed properties:
VASP energy = -241.404 eV per cell

Cell and atoms, written as CIF:
```
data_Cu2H2CO5
_chemical_formula_sum 'Cu8 H8 C4 O20'
_space_group_name_H-M_alt 'P 1 21/c 1'
_space_group_IT_number 14
_space_group_name_Hall '-P 2ybc'
_cell_length_a 3.142
_cell_length_b 11.877
_cell_length_c 9.983
_cell_angle_alpha 90.00
_cell_angle_beta 103.87
_cell_angle_gamma 90.00
loop_
_atom_site_label
_atom_site_fract_x
_atom_site_fract_y
_atom_site_fract_z
Cu1 0.042 0.212 0.025
Cu2 0.105 0.120 0.293
H1 0.178 0.600 0.997
H2 0.311 0.022 0.112
C1 0.046 0.623 0.753
O1 0.068 0.221 0.710
O2 0.082 0.607 0.628
O3 0.115 0.543 0.842
O4 0.220 0.658 0.073
O5 0.392 0.101 0.142
```

DFT (PBEsol) results for an optimized crystal structure of GaIrCl2.

Computed properties:
formation energy without anion corrections = 40.9 kJ/mol of atoms

Cell and atoms, written as CIF:
```
data_GaIrCl2
_chemical_formula_sum 'Ga4 Ir4 Cl8'
_space_group_name_H-M_alt 'I -4 2 d'
_space_group_IT_number 122
_space_group_name_Hall 'I -4 2bw'
_cell_length_a 5.084
_cell_length_b 5.084
_cell_length_c 14.452
_cell_angle_alpha 90.00
_cell_angle_beta 90.00
_cell_angle_gamma 90.00
loop_
_atom_site_label
_atom_site_fract_x
_atom_site_fract_y
_atom_site_fract_z
Ga1 0.000 0.000 0.000
Ir1 0.000 0.000 0.500
Cl1 0.158 0.250 0.625
```

DFT (PBEsol) results for an optimized crystal structure of ScCrRu2.

Computed properties:
energy of formation = 1.30 eV/f.u.

Cell and atoms, written as CIF:
```
data_ScCrRu2
_chemical_formula_sum 'Sc3 Cr3 Ru6'
_space_group_name_H-M_alt 'R 3 m'
_space_group_IT_number 160
_space_group_name_Hall 'R 3 -2"'
_cell_length_a 2.7492
_cell_length_b 2.7492
_cell_length_c 26.0446
_cell_angle_alpha 90.00
_cell_angle_beta 90.00
_cell_angle_gamma 120.00
loop_
_atom_site_label
_atom_site_fract_x
_atom_site_fract_y
_atom_site_fract_z
Sc1 0.0000 0.0000 0.0000
Cr1 0.0000 0.0000 0.2474
Ru1 0.0000 0.0000 0.5064
Ru2 0.0000 0.0000 0.7564
```

DFT (PBEsol) results for an optimized crystal structure of KNaY2Ir.

Computed properties:
energy of formation = 0.38 eV/f.u.

Cell and atoms, written as CIF:
```
data_KNaY2Ir
_chemical_formula_sum 'K1 Na1 Y2 Ir1'
_space_group_name_H-M_alt 'P 4/m m m'
_space_group_IT_number 123
_space_group_name_Hall '-P 4 2'
_cell_length_a 5.280
_cell_length_b 5.280
_cell_length_c 6.434
_cell_angle_alpha 90.00
_cell_angle_beta 90.00
_cell_angle_gamma 90.00
loop_
_atom_site_label
_atom_site_fract_x
_atom_site_fract_y
_atom_site_fract_z
K1 0.000 0.000 0.000
Na1 0.500 0.500 0.000
Y1 0.000 0.500 0.500
Ir1 0.000 0.000 0.500
```

DFT (PBEsol) results for an optimized crystal structure of TbHg.

Computed properties:
energy of formation = -1.14 eV/f.u.

Cell and atoms, written as CIF:
```
data_TbHg
_chemical_formula_sum 'Tb1 Hg1'
_space_group_name_H-M_alt 'P m -3 m'
_space_group_IT_number 221
_space_group_name_Hall '-P 4 2 3'
_cell_length_a 3.667
_cell_length_b 3.667
_cell_length_c 3.667
_cell_angle_alpha 90.00
_cell_angle_beta 90.00
_cell_angle_gamma 90.00
loop_
_atom_site_label
_atom_site_fract_x
_atom_site_fract_y
_atom_site_fract_z
Tb1 0.000 0.000 0.000
Hg1 0.500 0.500 0.500
```

DFT (PBEsol) results for an optimized crystal structure of Ca2LaRu.

Computed properties:
polymorph energy (0 for the lowest one) = 16.7 meV/atom
energy of formation = 0.18 eV/f.u.

Cell and atoms, written as CIF:
```
data_Ca2LaRu
_chemical_formula_sum 'Ca4 La2 Ru2'
_space_group_name_H-M_alt 'I m m 2'
_space_group_IT_number 44
_space_group_name_Hall 'I 2 -2'
_cell_length_a 3.688
_cell_length_b 5.765
_cell_length_c 10.930
_cell_angle_alpha 90.00
_cell_angle_beta 90.00
_cell_angle_gamma 90.00
loop_
_atom_site_label
_atom_site_fract_x
_atom_site_fract_y
_atom_site_fract_z
Ca1 0.000 0.000 0.000
Ca2 0.000 0.500 0.185
La1 0.000 0.500 0.818
Ru1 0.000 0.000 0.475
```

DFT (PBEsol) results for an optimized crystal structure of Sr2LiSi3.

Computed properties:
formation energy without anion corrections = -45.8 kJ/mol of atoms

Cell and atoms, written as CIF:
```
data_Sr2LiSi3
_chemical_formula_sum 'Sr32 Li16 Si48'
_space_group_name_H-M_alt 'F d d d'
_space_group_IT_number 70
_cell_length_a 8.476
_cell_length_b 14.729
_cell_length_c 17.851
_cell_angle_alpha 90.00
_cell_angle_beta 90.00
_cell_angle_gamma 90.00
loop_
_space_group_symop_operation_xyz
'x,y,z'
'-x,-y,-z'
'-x+1/4,-y+1/4,z'
'x+1/4,y+1/4,-z'
'x,-y+1/4,-z+1/4'
'-x,y+1/4,z+1/4'
'-x+1/4,y,-z+1/4'
'x+1/4,-y,z+1/4'
'x,y+1/2,z+1/2'
'-x,-y+1/2,-z+1/2'
'-x+1/4,-y+3/4,z+1/2'
'x+1/4,y+3/4,-z+1/2'
'x,-y+3/4,-z+3/4'
'-x,y+3/4,z+3/4'
'-x+1/4,y+1/2,-z+3/4'
'x+1/4,-y+1/2,z+3/4'
'x+1/2,y,z+1/2'
'-x+1/2,-y,-z+1/2'
'-x+3/4,-y+1/4,z+1/2'
'x+3/4,y+1/4,-z+1/2'
'x+1/2,-y+1/4,-z+3/4'
'-x+1/2,y+1/4,z+3/4'
'-x+3/4,y,-z+3/4'
'x+3/4,-y,z+3/4'
'x+1/2,y+1/2,z'
'-x+1/2,-y+1/2,-z'
'-x+3/4,-y+3/4,z'
'x+3/4,y+3/4,-z'
'x+1/2,-y+3/4,-z+1/4'
'-x+1/2,y+3/4,z+1/4'
'-x+3/4,y+1/2,-z+1/4'
'x+3/4,-y+1/2,z+1/4'
loop_
_atom_site_label
_atom_site_fract_x
_atom_site_fract_y
_atom_site_fract_z
Sr1 0.125 0.125 0.000
Sr2 0.125 0.125 0.501
Li1 0.125 0.292 0.625
Si1 0.116 0.295 0.378
Si2 0.125 0.286 0.125
```

DFT (PBEsol) results for an optimized crystal structure of NaSeCl2.

Computed properties:
polymorph energy (0 for the lowest one) = 364.5 meV/atom
formation energy without anion corrections = -7.6 kJ/mol of atoms

Cell and atoms, written as CIF:
```
data_NaSeCl2
_chemical_formula_sum 'Na3 Se3 Cl6'
_space_group_name_H-M_alt 'R -3 m'
_space_group_IT_number 166
_space_group_name_Hall '-R 3 2"'
_cell_length_a 3.3821
_cell_length_b 3.3821
_cell_length_c 28.0163
_cell_angle_alpha 90.00
_cell_angle_beta 90.00
_cell_angle_gamma 120.00
loop_
_atom_site_label
_atom_site_fract_x
_atom_site_fract_y
_atom_site_fract_z
Na1 0.0000 0.0000 0.0000
Se1 0.0000 0.0000 0.5000
Cl1 0.0000 0.0000 0.0878
```

DFT (PBEsol) results for an optimized crystal structure of Tb2Ge3Pt9.

Computed properties:
energy of formation = -11.12 eV/f.u.

Cell and atoms, written as CIF:
```
data_Tb2Ge3Pt9
_chemical_formula_sum 'Tb8 Ge12 Pt36'
_space_group_name_H-M_alt 'C 1 2/c 1'
_space_group_IT_number 15
_space_group_name_Hall '-C 2yc'
_cell_length_a 13.360
_cell_length_b 7.745
_cell_length_c 9.985
_cell_angle_alpha 90.00
_cell_angle_beta 116.84
_cell_angle_gamma 90.00
loop_
_atom_site_label
_atom_site_fract_x
_atom_site_fract_y
_atom_site_fract_z
Tb1 0.169 0.086 0.251
Ge1 0.090 0.228 0.497
Ge2 0.250 0.250 0.000
Pt1 0.000 0.368 0.250
Pt2 0.059 0.083 0.922
Pt3 0.105 0.310 0.742
Pt4 0.110 0.412 0.074
Pt5 0.223 0.418 0.420
```

DFT (PBEsol) results for an optimized crystal structure of Ca5In2P6.

Computed properties:
energy of formation = -11.88 eV/f.u.

Cell and atoms, written as CIF:
```
data_Ca5In2P6
_chemical_formula_sum 'Ca10 In4 P12'
_space_group_name_H-M_alt 'P b a m'
_space_group_IT_number 55
_space_group_name_Hall '-P 2 2ab'
_cell_length_a 11.079
_cell_length_b 12.894
_cell_length_c 4.121
_cell_angle_alpha 90.00
_cell_angle_beta 90.00
_cell_angle_gamma 90.00
loop_
_atom_site_label
_atom_site_fract_x
_atom_site_fract_y
_atom_site_fract_z
Ca1 0.000 0.000 0.000
Ca2 0.088 0.253 0.000
Ca3 0.180 0.513 0.000
In1 0.167 0.716 0.500
P1 0.026 0.415 0.500
P2 0.150 0.098 0.500
P3 0.162 0.828 0.000
```

DFT (PBEsol) results for an optimized crystal structure of LiMgS3.

Computed properties:
formation energy without anion corrections = -2.7 kJ/mol of atoms

Cell and atoms, written as CIF:
```
data_LiMgS3
_chemical_formula_sum 'Li1 Mg1 S3'
_space_group_name_H-M_alt 'P m -3 m'
_space_group_IT_number 221
_space_group_name_Hall '-P 4 2 3'
_cell_length_a 4.409
_cell_length_b 4.409
_cell_length_c 4.409
_cell_angle_alpha 90.00
_cell_angle_beta 90.00
_cell_angle_gamma 90.00
loop_
_atom_site_label
_atom_site_fract_x
_atom_site_fract_y
_atom_site_fract_z
Li1 0.000 0.000 0.000
Mg1 0.500 0.500 0.500
S1 0.000 0.000 0.500
```

Mass density, record by record: 13.8 6.1 14.3 17.7 5.1 6.3 9.4 4.0 9.1 4.1 5.9 8.7 4.0 12.1 4.6 3.2 3.1 16.5 3.5 2.5 Mg/m³
M_tot, record by record: 0.0 0.0 0.0 0.0 3.7 1.5 0.0 1.0 0.0 2.0 0.0 0.0 0.0 0.1 0.0 0.0 0.4 0.0 0.0 0.0 μB per formula unit